! Li2FeP2HO8, optimized geometry, DFT PBE+U; values from VASP
! Fermi-level density of states	0.000	states/eV/atom
! theoretical density	3.0	g cm⁻³
! total energy	-6.587	eV per atom
&SYSTEM
  ibrav = 0, nat = 28, ntyp = 5
/
ATOMIC_SPECIES
Li 6.94 Li.upf
Fe 55.84 Fe.upf
P 30.97 P.upf
H 1.01 H.upf
O 16.00 O.upf
CELL_PARAMETERS angstrom
4.8673 0.0000 0.0000
0.0000 8.1158 0.0000
-1.8900 0.0000 7.3502
ATOMIC_POSITIONS angstrom
Li 0.4730 0.0000 0.6815
Li 0.9542 2.1880 3.0037
Li 2.0231 6.2459 4.3465
Li 2.5044 4.0579 6.6687
Fe 0.7287 5.1508 1.8678
Fe 2.2486 1.0930 5.4824
P -0.3336 7.9836 3.5388
P 1.8386 2.3477 0.0985
P 1.1387 6.4056 7.2517
P 3.3109 3.9257 3.8114
H -0.0946 5.2405 5.5923
H 3.0720 1.1826 1.7579
O -1.2927 4.6887 5.1322
O -0.2697 3.7354 2.9651
O -1.0611 1.4514 6.7009
O 0.3153 6.6132 3.2111
O 1.1826 3.6901 0.4736
O 0.6748 0.7328 4.3445
O 1.7322 6.5802 0.7117
O 0.8614 5.6449 5.8895
O 2.1160 1.5870 1.4607
O 1.2451 2.5223 6.6385
O 2.3026 4.7907 3.0057
O 1.7947 7.7480 6.8766
O 2.6621 2.5553 4.1391
O 4.0385 5.5093 0.6493
O 3.2471 7.7932 4.3850
O 4.2700 0.6308 2.2180


! LiFe2P2HO8, optimized geometry, DFT PBE+U; values from VASP
! Fermi-level density of states	0.000	states/eV/atom
! theoretical density	2.9	g cm⁻³
! total energy	-6.747	eV per atom
&SYSTEM
  ibrav = 0, nat = 28, ntyp = 5
/
ATOMIC_SPECIES
Li 6.94 Li.upf
Fe 55.84 Fe.upf
P 30.97 P.upf
H 1.01 H.upf
O 16.00 O.upf
CELL_PARAMETERS angstrom
5.1642 0.0000 0.0000
-2.4198 8.0218 0.0000
-0.9292 -0.7708 8.7066
ATOMIC_POSITIONS angstrom
Li 0.0000 0.0000 0.0000
Li -0.8560 4.8451 6.1657
Fe 0.8456 1.4882 3.9240
Fe 0.2029 5.9170 0.7430
Fe 1.6893 6.9312 5.4255
Fe 3.4642 3.3460 2.2367
P 0.5776 4.4057 3.6996
P 1.6140 0.0334 6.7953
P 1.7667 4.0362 8.0723
P 3.7440 0.4368 2.4673
H 1.1620 1.3293 8.5287
H 2.2209 2.7546 6.3302
O -0.6143 1.6400 1.8857
O -2.5668 5.2180 8.6147
O -1.6364 6.8700 6.2602
O -0.2102 3.1925 4.2871
O -0.1780 4.7881 2.3765
O 0.8843 0.4199 8.1736
O 0.3208 4.4937 7.7781
O 1.5969 1.2620 5.8610
O 0.4581 5.5498 4.7280
O 2.2927 0.8421 2.7486
O 2.0352 4.0257 3.4234
O 1.4219 7.3153 1.4380
O 2.7122 3.5713 0.2882
O 3.0608 -0.4197 7.0904
O 2.4968 3.6603 6.6890
O 4.4972 0.0452 3.7910


! LiFeP2HO8, optimized geometry, DFT PBE+U; values from VASP
! Fermi-level density of states	0.291	states/eV/atom
! theoretical density	2.8	g cm⁻³
! total energy	-6.555	eV per atom
&SYSTEM
  ibrav = 0, nat = 26, ntyp = 5
/
ATOMIC_SPECIES
Li 6.94 Li.upf
Fe 55.84 Fe.upf
P 30.97 P.upf
H 1.01 H.upf
O 16.00 O.upf
CELL_PARAMETERS angstrom
4.9473 0.0000 0.0000
0.0000 8.1356 0.0000
-1.8356 0.0000 7.3628
ATOMIC_POSITIONS angstrom
Li 0.5623 0.0000 0.7608
Li 2.5494 4.0678 6.6020
Fe 0.7380 3.0359 1.8147
Fe 2.3737 7.1037 5.5481
P -0.2367 0.1866 3.5731
P 1.8589 5.7979 0.0897
P 1.2528 1.7302 7.2731
P 3.3484 4.2544 3.7897
H 0.0544 2.7993 5.6284
H 3.0573 6.8671 1.7344
O -1.2639 3.4731 5.0739
O 4.3756 7.5409 2.2889
O -0.4218 4.3570 2.7968
O -1.0213 6.6987 6.7608
O 0.1887 1.5885 3.0912
O 1.2286 4.4278 0.4030
O 0.9094 7.6288 4.3337
O 1.8053 1.5860 0.7560
O 0.9757 2.4810 5.9145
O 2.1361 6.5488 1.4483
O 1.3064 5.6538 6.6068
O 2.2023 3.5610 3.0291
O 1.8831 0.3600 6.9598
O 2.9230 5.6563 4.2716
O 4.1330 2.6309 0.6020
O 3.5335 0.2892 4.5660


! LiFe2P2HO8, optimized geometry, DFT PBE+U; values from VASP
! Fermi-level density of states	0.000	states/eV/atom
! theoretical density	3.1	g cm⁻³
! total energy	-6.745	eV per atom
&SYSTEM
  ibrav = 0, nat = 28, ntyp = 5
/
ATOMIC_SPECIES
Li 6.94 Li.upf
Fe 55.84 Fe.upf
P 30.97 P.upf
H 1.01 H.upf
O 16.00 O.upf
CELL_PARAMETERS angstrom
4.9533 0.0000 0.0000
0.0000 9.0743 0.0000
-2.2180 0.0000 7.4535
ATOMIC_POSITIONS angstrom
Li 0.4159 0.0000 2.3668
Li 2.3194 4.5371 5.0867
Fe 0.6394 6.2327 0.3468
Fe 0.7675 3.2332 2.8278
Fe 1.9678 7.7703 4.6257
Fe 2.0959 1.6955 7.1067
P -0.4340 6.0335 3.4510
P 1.7369 3.6929 0.1602
P 0.9984 8.2300 7.2933
P 3.1693 1.4964 4.0025
H -0.5038 0.7130 5.7823
H 3.2391 5.2502 1.6712
O -1.4672 1.1545 5.5565
O -0.4448 1.6101 3.2660
O -1.3932 4.4951 6.6572
O 0.9062 2.5332 0.8377
O 0.3393 7.3598 3.4154
O 0.4192 4.8696 3.9897
O 1.9381 7.7234 0.5017
O 2.0199 4.6748 1.3645
O 0.7154 0.1377 6.0890
O 0.7972 3.1863 6.9518
O 2.3161 0.3324 3.4638
O 2.3960 2.8226 4.0381
O 1.8291 7.0704 6.6158
O 4.1285 9.0322 0.7963
O 3.1801 6.1473 4.1875
O 4.2025 5.6916 1.8970


! LiFePH12O10, optimized geometry, DFT PBE+U; values from VASP
! Fermi-level density of states	0.000	states/eV/atom
! theoretical density	1.9	g cm⁻³
! total energy	-5.450	eV per atom
&SYSTEM
  ibrav = 0, nat = 50, ntyp = 5
/
ATOMIC_SPECIES
Li 6.94 Li.upf
Fe 55.84 Fe.upf
P 30.97 P.upf
H 1.01 H.upf
O 16.00 O.upf
CELL_PARAMETERS angstrom
6.7610 0.0000 0.0000
0.0000 6.2373 0.0000
0.0000 0.0000 11.0570
ATOMIC_POSITIONS angstrom
Li 0.0000 0.1918 0.0000
Li 3.3805 6.0454 5.5285
Fe 0.0000 5.5394 7.8471
Fe 3.3805 0.6979 2.3185
P 0.0000 3.0967 3.7855
P 3.3805 3.1405 9.3140
H 0.0000 1.4472 6.0549
H 0.0000 2.0715 7.5458
H 0.8089 3.1161 9.1347
H 1.0631 1.9791 1.5927
H 1.2295 0.7526 4.1244
H 1.4659 4.4530 5.7710
H 1.6281 5.4367 3.8720
H 1.7524 0.8006 9.4006
H 1.9146 1.7843 0.2425
H 2.1510 5.4847 9.6529
H 2.3174 4.2582 7.1212
H 2.5716 3.1211 3.6061
H 3.3805 4.1657 2.0173
H 3.3805 4.7901 0.5264
H 4.1895 3.1211 3.6061
H 4.4436 4.2582 7.1212
H 4.6100 5.4847 9.6529
H 4.8464 1.7843 0.2425
H 5.0087 0.8006 9.4006
H 5.1329 5.4367 3.8720
H 5.2951 4.4530 5.7710
H 5.5315 0.7526 4.1244
H 5.6980 1.9791 1.5927
H 5.9521 3.1161 9.1347
O 0.0000 1.2198 7.0347
O 0.0000 1.6789 4.4575
O 0.0000 2.9316 2.2527
O 0.0000 3.4506 8.6241
O 1.2737 3.8613 4.2530
O 1.3665 6.1083 9.4590
O 1.6246 1.2910 1.0775
O 1.7559 4.9462 6.6060
O 2.0140 0.1290 3.9305
O 2.1068 2.3760 9.7815
O 3.3805 2.7867 3.0956
O 3.3805 3.3057 7.7812
O 3.3805 4.5583 9.9861
O 3.3805 5.0174 1.5062
O 4.6542 2.3760 9.7815
O 4.7471 0.1290 3.9305
O 5.0051 4.9462 6.6060
O 5.1364 1.2910 1.0775
O 5.3945 6.1083 9.4590
O 5.4873 3.8613 4.2530


! LiFe2P2HO8, optimized geometry, DFT PBE+U; values from VASP
! Fermi-level density of states	0.000	states/eV/atom
! theoretical density	3.2	g cm⁻³
! total energy	-6.710	eV per atom
&SYSTEM
  ibrav = 0, nat = 56, ntyp = 5
/
ATOMIC_SPECIES
Li 6.94 Li.upf
Fe 55.84 Fe.upf
P 30.97 P.upf
H 1.01 H.upf
O 16.00 O.upf
CELL_PARAMETERS angstrom
8.5346 0.0000 0.0000
0.0000 5.0019 0.0000
-1.2178 0.0000 15.0855
ATOMIC_POSITIONS angstrom
Li -0.3044 0.3001 3.7714
Li -0.9133 4.7018 11.3141
Li 3.3540 0.8249 11.3141
Li 3.9629 4.1770 3.7714
Fe -0.5495 1.2182 15.0818
Fe 0.0594 3.7837 7.5391
Fe 2.3241 1.2186 15.0689
Fe 2.9330 3.7834 7.5262
Fe 4.3839 1.2186 7.5593
Fe 4.9928 3.7834 0.0165
Fe 7.2575 1.2182 7.5464
Fe 7.8664 3.7837 0.0036
P 1.5257 1.2990 5.8415
P 0.9169 3.7029 13.3842
P 1.5316 1.3282 9.3083
P 2.1405 3.6737 1.7656
P 5.1763 1.3282 13.3199
P 5.7852 3.6737 5.7772
P 6.4000 1.2990 1.7012
P 5.7911 3.7029 9.2440
H 1.7345 2.2202 3.8157
H 1.1256 2.7817 11.3585
H 6.1913 2.2202 3.7270
H 5.5824 2.7817 11.2697
O 0.2415 2.0305 6.3198
O -0.3674 2.9714 13.8625
O 0.2517 0.5151 8.8899
O 0.8606 4.4869 1.3471
O 1.4240 1.2923 4.2514
O 0.8151 3.7096 11.7941
O 0.9001 0.1847 13.8254
O 1.5090 4.8172 6.2826
O 2.1339 2.2514 1.1298
O 1.5250 2.7505 8.6725
O 1.5834 1.5009 10.8418
O 2.1923 3.5010 3.2991
O 2.8250 2.0100 6.2624
O 2.2161 2.9919 13.8051
O 2.8163 0.5353 8.8703
O 3.4252 4.4667 1.3276
O 3.8917 0.5353 13.7578
O 4.5006 4.4667 6.2151
O 5.1007 2.0100 1.2803
O 4.4919 2.9919 8.8231
O 5.1246 1.5009 11.7864
O 5.7334 3.5010 4.2436
O 5.7918 2.2514 6.4130
O 5.1830 2.7505 13.9557
O 5.8078 0.1847 8.8028
O 6.4167 4.8172 1.2601
O 6.5017 1.2923 3.2913
O 5.8928 3.7096 10.8340
O 6.4562 0.5151 13.7383
O 7.0651 4.4869 6.1956
O 7.6842 2.0305 1.2229
O 7.0754 2.9714 8.7657


! LiVFeP2H2O10, optimized geometry, DFT PBE+U; values from VASP
! Fermi-level density of states	0.113	states/eV/atom
! theoretical density	2.6	g cm⁻³
! total energy	-5.635	eV per atom
&SYSTEM
  ibrav = 0, nat = 17, ntyp = 6
/
ATOMIC_SPECIES
Li 6.94 Li.upf
V 50.94 V.upf
Fe 55.84 Fe.upf
P 30.97 P.upf
H 1.01 H.upf
O 16.00 O.upf
CELL_PARAMETERS angstrom
4.5070 0.0000 0.0000
-1.8313 6.3537 0.0000
-2.0864 -1.7672 7.4282
ATOMIC_POSITIONS angstrom
Li 0.0000 0.0000 0.0000
V 0.5053 1.5013 3.0038
Fe 1.1460 1.4687 6.1575
P -1.2833 3.0679 4.1035
P 2.5974 2.0025 0.7277
H -1.7333 4.3448 3.6749
H 1.9493 0.8598 0.1611
O -0.7257 1.2455 1.4517
O -1.8832 0.0285 6.2046
O -1.3073 -0.2455 4.9686
O -0.6070 5.5108 1.3645
O -0.1834 0.7113 4.7399
O 1.2779 -0.2351 2.5419
O -0.7906 3.7567 5.5189
O 1.6323 2.6368 1.7630
O -0.0925 2.9691 6.5813
O 1.8815 2.2400 4.3852


! LiVFeP2H2O10, optimized geometry, DFT PBE+U; values from VASP
! theoretical density	2.8	g cm⁻³
! total energy	-6.405	eV per atom
&SYSTEM
  ibrav = 0, nat = 17, ntyp = 6
/
ATOMIC_SPECIES
Li 6.94 Li.upf
V 50.94 V.upf
Fe 55.84 Fe.upf
P 30.97 P.upf
H 1.01 H.upf
O 16.00 O.upf
CELL_PARAMETERS angstrom
5.1575 0.0000 0.0000
0.1303 5.8002 0.0000
0.8879 2.2814 6.6229
ATOMIC_POSITIONS angstrom
Li 0.0000 0.0000 0.0000
V 3.2299 4.0776 1.4143
Fe 1.5046 5.0415 5.9181
P 2.5947 1.6041 1.4712
P 5.6923 4.2492 3.5778
H 2.5166 1.4543 3.7068
H 4.3435 6.4396 4.8517
O 1.0281 3.3816 4.7849
O 1.5703 4.2834 2.4124
O 1.3346 1.4505 0.5186
O 1.9361 1.4068 2.8954
O 2.9279 6.4133 6.2384
O 3.5833 7.0652 5.1095
O 3.6665 6.1825 1.1958
O 4.3010 3.8488 3.0723
O 4.5941 3.7830 0.3681
O 5.6541 5.6526 4.2872


> Which of these has the lowest total energy?

number 2


> Number 7 is which compound?

LiVFeP2H2O10


> Which formula does entry 8 have?

LiVFeP2H2O10


> Which value of theoretical density does entry 8 give?

2.8 g cm⁻³